Nd2ThRh: relaxed, PBE.

Computed properties:
Calculated total energy   -6.09 eV per atom
Theoretical density   8298 kg/m3
N(E_F)   14.51 states/eV/cell
Distance to the lowest polymorph of the same formula   0.422 eV/atom

a = 3.6517 Å, b = 3.6517 Å, c = 32.4076 Å
α = 90.00°, β = 90.00°, γ = 120.00°
Space group R-3m (No. 166, hexagonal axes)
Unique sites:
Nd 0.0000 0.0000 0.1089 x6
Th 0.0000 0.0000 0.0000 x3
Rh 0.0000 0.0000 0.5000 x3

---

NdTmTh2Rh4: relaxed, PBE.

Computed properties:
Calculated total energy   -7.46 eV per atom
Theoretical density   10684 kg/m3
N(E_F)   21.42 states/eV/cell

a = 7.896 Å, b = 11.192 Å, c = 8.364 Å
α = 90.00°, β = 90.00°, γ = 90.00°
Space group Fmm2 (No. 42)
Unique sites:
Nd 0.000 0.000 0.000 x4
Tm 0.000 0.000 0.425 x4
Th 0.250 0.250 0.279 x8
Rh 0.000 0.227 0.535 x8
Rh 0.200 0.000 0.713 x8

---

NdTiRh2: relaxed, PBE.

Computed properties:
Calculated total energy   -7.49 eV per atom
Theoretical density   9066 kg/m3
N(E_F)   4.19 states/eV/cell

a = 3.171 Å, b = 3.171 Å, c = 7.250 Å
α = 90.00°, β = 90.00°, γ = 90.00°
Space group P4/mmm (No. 123)
Unique sites:
Nd 0.000 0.000 0.000 x1
Ti 0.000 0.000 0.500 x1
Rh 0.500 0.500 0.300 x2

---

NdTiRh: relaxed, PBE.

Computed properties:
Calculated total energy   -7.02 eV per atom
Theoretical density   7748 kg/m3
N(E_F)   9.02 states/eV/cell

a = 3.277 Å, b = 3.277 Å, c = 11.778 Å
α = 90.00°, β = 90.00°, γ = 90.00°
Space group I4mm (No. 107)
Unique sites:
Nd 0.000 0.000 0.000 x2
Ti 0.000 0.000 0.713 x2
Rh 0.000 0.000 0.304 x2

---

NdTi2Rh2: relaxed, PBE.

Computed properties:
Calculated total energy   -7.70 eV per atom
Theoretical density   7494 kg/m3
N(E_F)   9.85 states/eV/cell

a = 4.290 Å, b = 4.290 Å, c = 10.736 Å
α = 90.00°, β = 90.00°, γ = 90.00°
Space group I4/mmm (No. 139)
Unique sites:
Nd 0.000 0.000 0.000 x2
Ti 0.000 0.500 0.250 x4
Rh 0.000 0.000 0.375 x4

---

NdTi2Rh3: relaxed, PBE.

Computed properties:
Calculated total energy   -7.81 eV per atom
Theoretical density   8822 kg/m3
N(E_F)   4.51 states/eV/cell

a = 3.130 Å, b = 3.130 Å, c = 10.543 Å
α = 90.00°, β = 90.00°, γ = 90.00°
Space group P4/mmm (No. 123)
Unique sites:
Nd 0.000 0.000 0.000 x1
Ti 0.000 0.000 0.347 x2
Rh 0.500 0.500 0.218 x2
Rh 0.500 0.500 0.500 x1